Below is a geometry-optimized TbTh2Te3 structure, with properties calculated at the PBE level.

abc: 3.8391 3.8391 11.4614
angles: 90.00 90.00 90.00
Closest atoms and distances in Å follow each position.
Positions (direct):
Tb1 0.5000 0.5000 0.5000  8 Te 3.31
Th1 0.5000 0.5000 0.1688  8 Te 3.32-3.33
Th2 0.5000 0.5000 0.8312  8 Te 3.32-3.33
Te1 0.0000 0.0000 0.0000  8 Th 3.33
Te2 0.0000 0.0000 0.3354  4 Tb 3.31, 4 Th 3.32
Te3 0.0000 0.0000 0.6646  4 Tb 3.31, 4 Th 3.32

Results
The total DFT energy (no corrections) comes out at -35.66 eV/cell. The value obtained for the magnetic moment is 0.000 μB/f.u. As for the energy relative to the lowest polymorph listed for this composition: 0 meV/atom. The volume comes out at 28.15 Å³ per atom. The value obtained for the uncorrected formation energy is -1.13 eV/atom.